VASP calculation (PBE) on crystalline KAl2Tl2 at its relaxed geometry.

Unit cell a=8.843 b=8.843 c=3.483 alpha=90.00 beta=90.00 gamma=90.00
Sites, in units of the cell vectors:
1 Al 0.384 0.884 0.000
2 Al 0.616 0.116 0.000
3 Al 0.884 0.616 0.000
4 Al 0.116 0.384 0.000
5 Tl 0.829 0.329 0.500
6 Tl 0.329 0.171 0.500
7 Tl 0.171 0.671 0.500
8 Tl 0.671 0.829 0.500
9 K 0.000 0.000 0.000
10 K 0.500 0.500 0.000

Values from the calculation:
The calculation puts the final energy at -2.497 eV/atom. The calculation puts the formation energy at 166.1 meV/atom. Its density of states at the Fermi level is 5.893 states/eV per cell. As for the spin magnetization: 0.0 μB/f.u.